Here is a PBEsol-optimized structure of PtSe3S from Alexandria via LeMat-Bulk. Energies are from meta-GGA SCAN.

## Properties
The total magnetization is 0.00 μB/f.u. Its uncorrected formation energy is 0.82 eV/atom. The value obtained for the energy is -0.99920 hartree per atom. For the theoretical density, the calculation gives 6.7 g cm⁻³.

Cell and atoms, written as CIF:
```
data_PtSe3S
_chemical_formula_sum 'Pt1 Se3 S1'
_space_group_name_H-M_alt 'P 1'
_space_group_IT_number 1
_space_group_name_Hall 'P 1'
_cell_length_a 4.853
_cell_length_b 4.853
_cell_length_c 4.853
_cell_angle_alpha 90.00
_cell_angle_beta 90.00
_cell_angle_gamma 90.00
loop_
_atom_site_label
_atom_site_type_symbol
_atom_site_fract_x
_atom_site_fract_y
_atom_site_fract_z
Pt1 Pt 0.000 0.000 0.000
Se1 Se 0.000 0.000 0.500
Se2 Se 0.000 0.500 0.000
Se3 Se 0.500 0.000 0.000
S1 S 0.500 0.500 0.500
```